No. 1
{"formula": "Mg2VCoHg", "functional": "GGA-PBE", "state": "relaxed", "e_tot_ev_per_atom": -2.58, "crystal_system": "tetragonal", "rho_kg_m3": 4389, "volume_a3_per_atom": 27.2, "e_form_ev_per_atom": 1.363, "lattice_angstrom": [[5.1465, 0.0000, 0.0000], [0.0000, 5.1465, 0.0000], [0.0000, 0.0000, 5.1290]], "species": ["Mg", "Mg", "V", "Co", "Hg"], "fractional_positions": [[0.0000, 0.5000, 0.0000], [0.5000, 0.0000, 0.0000], [0.0000, 0.0000, 0.0000], [0.5000, 0.5000, 0.5000], [0.0000, 0.0000, 0.5000]]}


No. 2
{"formula": "YMo3Ir", "functional": "GGA-PBE", "state": "relaxed", "e_tot_ev_per_atom": -8.51, "crystal_system": "cubic", "e_above_lowest_polymorph_mev_per_atom": 0.0, "rho_kg_m3": 8488, "volume_a3_per_atom": 22.3, "e_form_ev_per_atom": 1.056, "lattice_angstrom": [[4.8102, 0.0000, 0.0000], [0.0000, 4.8102, 0.0000], [0.0000, 0.0000, 4.8102]], "species": ["Y", "Mo", "Mo", "Mo", "Ir"], "fractional_positions": [[0.0000, 0.0000, 0.0000], [0.0000, 0.5000, 0.5000], [0.5000, 0.0000, 0.5000], [0.5000, 0.5000, 0.0000], [0.5000, 0.5000, 0.5000]]}


No. 3
{"formula": "SmInPd3", "functional": "GGA-PBE", "state": "relaxed", "e_tot_ev_per_atom": -5.21, "crystal_system": "orthorhombic", "rho_kg_m3": 9570, "volume_a3_per_atom": 20.3, "e_form_ev_per_atom": -0.602, "lattice_angstrom": [[-2.8074, 3.9254, 4.6012], [2.8074, -3.9254, 4.6012], [2.8074, 3.9254, -4.6012]], "species": ["Sm", "Sm", "In", "In", "Pd", "Pd", "Pd", "Pd", "Pd", "Pd"], "fractional_positions": [[0.2546, 0.0046, 0.2500], [0.7454, 0.9954, 0.7500], [0.0000, 0.5000, 0.5000], [0.5000, 0.5000, 0.0000], [0.0531, 0.3031, 0.7500], [0.3108, 0.0000, 0.8108], [0.3108, 0.5000, 0.3108], [0.6892, 0.0000, 0.1892], [0.6892, 0.5000, 0.6892], [0.9469, 0.6969, 0.2500]]}


No. 4
{"formula": "SrRuW", "functional": "GGA-PBE", "state": "relaxed", "e_tot_ev_per_atom": -6.77, "crystal_system": "cubic", "e_above_lowest_polymorph_mev_per_atom": 670.8, "rho_kg_m3": 9114, "volume_a3_per_atom": 22.6, "e_form_ev_per_atom": 1.197, "lattice_angstrom": [[0.0000, 3.2376, 3.2376], [3.2376, 0.0000, 3.2376], [3.2376, 3.2376, 0.0000]], "species": ["Sr", "Ru", "W"], "fractional_positions": [[0.0000, 0.0000, 0.0000], [0.7500, 0.7500, 0.7500], [0.5000, 0.5000, 0.5000]]}


No. 5
{"formula": "LuTiGaCo", "functional": "GGA-PBE", "state": "relaxed", "e_tot_ev_per_atom": -5.91, "crystal_system": "cubic", "rho_kg_m3": 8519, "volume_a3_per_atom": 17.1, "e_form_ev_per_atom": -0.268, "lattice_angstrom": [[0.0000, 3.2477, 3.2477], [3.2477, 0.0000, 3.2477], [3.2477, 3.2477, 0.0000]], "species": ["Lu", "Ti", "Ga", "Co"], "fractional_positions": [[0.0000, 0.0000, 0.0000], [0.5000, 0.5000, 0.5000], [0.7500, 0.7500, 0.7500], [0.2500, 0.2500, 0.2500]]}


No. 6
{"formula": "Zr2NiTe", "functional": "GGA-PBE", "state": "relaxed", "e_tot_ev_per_atom": -6.86, "crystal_system": "orthorhombic", "rho_kg_m3": 7783, "volume_a3_per_atom": 19.7, "lattice_angstrom": [[2.9826, -3.8270, 0.0000], [2.9826, 3.8270, 0.0000], [0.0000, 0.0000, 3.4461]], "species": ["Zr", "Zr", "Ni", "Te"], "fractional_positions": [[0.0000, 0.5000, 0.0000], [0.5000, 0.0000, 0.0000], [0.0000, 0.0000, 0.5000], [0.5000, 0.5000, 0.5000]]}


No. 7
{"formula": "VGe2Rh3", "functional": "GGA-PBE", "state": "relaxed", "e_tot_ev_per_atom": -7.19, "crystal_system": "orthorhombic", "rho_kg_m3": 9827, "volume_a3_per_atom": 14.2, "e_form_ev_per_atom": -0.457, "lattice_angstrom": [[-1.9870, 3.4562, 6.2121], [1.9870, -3.4562, 6.2121], [1.9870, 3.4562, -6.2121]], "species": ["V", "V", "Ge", "Ge", "Ge", "Ge", "Rh", "Rh", "Rh", "Rh", "Rh", "Rh"], "fractional_positions": [[0.4381, 0.1881, 0.2500], [0.5619, 0.8119, 0.7500], [0.0975, 0.8475, 0.2500], [0.2916, 0.5416, 0.7500], [0.7084, 0.4584, 0.2500], [0.9025, 0.1525, 0.7500], [0.0000, 0.0000, 0.0000], [0.1409, 0.6707, 0.4703], [0.2996, 0.3293, 0.9703], [0.5000, 0.0000, 0.5000], [0.7004, 0.6707, 0.0297], [0.8591, 0.3293, 0.5297]]}


No. 8
{"formula": "Hf8TlN2", "functional": "GGA-PBE", "state": "relaxed", "e_tot_ev_per_atom": -9.20, "crystal_system": "monoclinic", "rho_kg_m3": 11786, "volume_a3_per_atom": 21.3, "lattice_angstrom": [[6.4498, -3.2249, 0.0000], [6.4498, 3.2249, 0.0000], [-0.9285, 0.0000, 5.6232]], "species": ["Hf", "Hf", "Hf", "Hf", "Hf", "Hf", "Hf", "Hf", "Tl", "N", "N"], "fractional_positions": [[0.1358, 0.6637, 0.8065], [0.1514, 0.1514, 0.7162], [0.3022, 0.3022, 0.2072], [0.3363, 0.8642, 0.1935], [0.6637, 0.1358, 0.8065], [0.6978, 0.6978, 0.7928], [0.8486, 0.8486, 0.2838], [0.8642, 0.3363, 0.1935], [0.5000, 0.5000, 0.5000], [0.3124, 0.3124, 0.8485], [0.6876, 0.6876, 0.1515]]}


No. 9
{"formula": "KBeCuS2", "functional": "GGA-PBE", "state": "relaxed", "e_tot_ev_per_atom": -4.28, "crystal_system": "orthorhombic", "rho_kg_m3": 2835, "volume_a3_per_atom": 20.6, "lattice_angstrom": [[2.7040, -6.3884, 0.0000], [2.7040, 6.3884, 0.0000], [0.0000, 0.0000, 5.9613]], "species": ["K", "K", "Be", "Be", "Cu", "Cu", "S", "S", "S", "S"], "fractional_positions": [[0.2500, 0.7500, 0.7575], [0.7500, 0.2500, 0.2425], [0.2500, 0.2500, 0.0000], [0.7500, 0.7500, 0.0000], [0.0000, 0.0000, 0.5000], [0.5000, 0.5000, 0.5000], [0.0937, 0.9063, 0.1950], [0.4063, 0.5937, 0.1950], [0.5937, 0.4063, 0.8050], [0.9063, 0.0937, 0.8050]]}


No. 10
{"formula": "YCuPb", "functional": "GGA-PBE", "state": "relaxed", "e_tot_ev_per_atom": -4.77, "crystal_system": "tetragonal", "rho_kg_m3": 7928, "volume_a3_per_atom": 25.1, "e_form_ev_per_atom": -0.017, "lattice_angstrom": [[4.6168, 0.0000, 0.0000], [0.0000, 4.6168, 0.0000], [0.0000, 0.0000, 7.0679]], "species": ["Y", "Y", "Cu", "Cu", "Pb", "Pb"], "fractional_positions": [[0.2500, 0.7500, 0.0000], [0.7500, 0.2500, 0.0000], [0.2500, 0.2500, 0.2530], [0.7500, 0.7500, 0.7470], [0.2500, 0.2500, 0.6324], [0.7500, 0.7500, 0.3676]]}


No. 11
{"formula": "MnNi4Sb", "functional": "GGA-PBE", "state": "relaxed", "e_tot_ev_per_atom": -6.17, "crystal_system": "monoclinic", "e_above_lowest_polymorph_mev_per_atom": 0.0, "rho_kg_m3": 8976, "volume_a3_per_atom": 12.7, "lattice_angstrom": [[4.0840, -1.8155, 0.0000], [4.0840, 1.8155, 0.0000], [-1.6705, 0.0000, 5.1330]], "species": ["Mn", "Ni", "Ni", "Ni", "Ni", "Sb"], "fractional_positions": [[0.0000, 0.0000, 0.0000], [0.3299, 0.3299, 0.1505], [0.3336, 0.3336, 0.6801], [0.6664, 0.6664, 0.3199], [0.6701, 0.6701, 0.8495], [0.0000, 0.0000, 0.5000]]}


No. 12
{"formula": "CsCd3Bi", "functional": "GGA-PBE", "state": "relaxed", "e_tot_ev_per_atom": -0.71, "crystal_system": "cubic", "e_above_lowest_polymorph_mev_per_atom": 705.7, "rho_kg_m3": 3392, "volume_a3_per_atom": 66.5, "e_form_ev_per_atom": 0.789, "lattice_angstrom": [[6.9274, 0.0000, 0.0000], [0.0000, 6.9274, 0.0000], [0.0000, 0.0000, 6.9274]], "species": ["Cs", "Cd", "Cd", "Cd", "Bi"], "fractional_positions": [[0.0000, 0.0000, 0.0000], [0.0000, 0.0000, 0.5000], [0.0000, 0.5000, 0.0000], [0.5000, 0.0000, 0.0000], [0.5000, 0.5000, 0.5000]]}